## Ho5Bi2Pd (PBE-GGA)

Data for a geometry-optimized Ho5Bi2Pd structure.

Geometry as extended XYZ:
```
32
Lattice="12.290 0.000 0.000 0.000 9.048 0.000 0.000 0.000 8.028" Properties=species:S:1:pos:R:3 pbc="T T T"
Ho 2.607 2.262 6.701
Ho 0.820 4.074 1.441
Ho 5.325 4.974 5.455
Ho 0.820 0.450 1.441
Ho 12.285 6.786 3.672
Ho 9.684 6.786 1.327
Ho 9.859 2.262 1.053
Ho 3.714 2.262 2.961
Ho 6.140 6.786 0.342
Ho 0.006 2.262 4.356
Ho 2.431 6.786 6.975
Ho 8.576 6.786 5.067
Ho 11.470 4.974 6.588
Ho 5.325 8.598 5.455
Ho 11.470 8.598 6.588
Ho 6.965 4.074 2.573
Ho 8.752 2.262 5.341
Ho 3.539 6.786 2.687
Ho 6.151 2.262 7.687
Ho 6.965 0.450 2.573
Bi 2.132 4.603 4.556
Bi 10.158 4.445 3.472
Bi 4.013 0.079 0.542
Bi 8.277 4.603 7.486
Bi 2.132 8.969 4.556
Bi 8.277 8.969 7.486
Bi 4.013 4.445 0.542
Bi 10.158 0.079 3.472
Pd 6.326 6.786 3.325
Pd 5.964 2.262 4.703
Pd 12.109 2.262 7.339
Pd 0.181 6.786 0.689
```

Results
Space group   Pnma, No. 62
Electronic total energy   -5.215 eV/atom